Record 1
Computed, not measured: a PBEsol-optimized structure of Ca2MgAu at the SCAN level of DFT.

Output
Magnetization: 0.0 Bohr magnetons per cell
Calculated formation energy: -197.1 kJ/mol of formula units
DOS at the Fermi energy: 2.89 states/eV/f.u.

Cell: 3.6075 5.2649 6.4686 Å, 114.01 106.19 90.00°
Closest atoms and distances in Å follow each position.
Positions (direct):
Au1 0.2373 0.7373 0.4746  2 Mg 2.75, 2 Ca 3.04
Ca1 0.9542 0.9542 0.9084  2 Au 3.04, 4 Mg 3.38
Ca2 0.7556 0.2556 0.5111  4 Au 3.20, 2 Ca 3.45, 2 Mg 3.48
Mg1 0.5529 0.5529 0.1059  2 Au 2.75

Record 2
Computed, not measured: a PBEsol-optimized structure of Ta5W4 at the SCAN level of DFT.

Output
Magnetization: 0.0 Bohr magnetons per cell
Calculated formation energy: -53.6 kJ/mol of formula units
DOS at the Fermi energy: 7.87 states/eV/f.u.

Cell: 3.2025 7.0171 7.0171 Å, 87.02 76.81 76.81°
Closest atoms and distances in Å follow each position.
Positions (direct):
Ta1 0.0000 0.0000 0.0000  8 Ta 2.79
Ta2 0.3330 0.0000 0.3339  4 Ta 2.78-2.79, 4 W 2.81
Ta3 0.6670 0.0000 0.6661  4 Ta 2.78-2.79, 4 W 2.81
Ta4 0.6670 0.6661 0.0000  4 Ta 2.78-2.79, 4 W 2.81
Ta5 0.3330 0.3339 0.0000  4 Ta 2.78-2.79, 4 W 2.81
W1 0.3377 0.6623 0.6623  4 W 2.73, 4 Ta 2.81
W2 0.0000 0.6623 0.3377  4 W 2.73, 4 Ta 2.81
W3 0.6623 0.3377 0.3377  4 W 2.73, 4 Ta 2.81
W4 0.0000 0.3377 0.6623  4 W 2.73, 4 Ta 2.81

Record 3
Computed, not measured: a PBEsol-optimized structure of Tl2MoAu at the SCAN level of DFT.

Output
Magnetization: 0.0 Bohr magnetons per cell
Calculated formation energy: 237.8 kJ/mol of formula units
Energy relative to the lowest polymorph listed for this composition: 67 meV/atom
DOS at the Fermi energy: 2.80 states/eV/f.u.

Cell: 3.0813 3.0813 9.6825 Å, 80.84 80.84 60.00°
Closest atoms and distances in Å follow each position.
Positions (direct):
Au1 0.5000 0.5000 0.5000  6 Tl 3.00, 6 Au 3.08
Tl1 0.2514 0.2514 0.2459  3 Mo 2.94, 3 Au 3.00, 6 Tl 3.08
Tl2 0.7486 0.7486 0.7541  3 Mo 2.94, 3 Au 3.00, 6 Tl 3.08
Mo1 0.0000 0.0000 0.0000  6 Tl 2.94, 6 Mo 3.08